## Cs4Co3F10 (PBE with a Hubbard U)

Data for a relaxed structure of Cs4Co3F10.

```
Cs4Co3F10
1.0
3.152 -7.349 0.000
3.152 7.349 0.000
0.000 0.000 14.102
Cs Co F
8 6 20
Direct
0.045 0.955 0.861
0.246 0.754 0.609
0.254 0.746 0.109
0.455 0.545 0.361
0.545 0.455 0.639
0.746 0.254 0.891
0.754 0.246 0.391
0.955 0.045 0.139
0.000 0.000 0.500
0.120 0.880 0.345
0.380 0.620 0.845
0.500 0.500 0.000
0.620 0.380 0.155
0.880 0.120 0.655
0.026 0.974 0.645
0.116 0.313 0.538
0.137 0.363 0.750
0.187 0.384 0.962
0.247 0.753 0.854
0.253 0.747 0.354
0.313 0.116 0.462
0.363 0.137 0.250
0.384 0.187 0.038
0.474 0.526 0.145
0.526 0.474 0.855
0.616 0.813 0.962
0.637 0.863 0.750
0.687 0.884 0.538
0.747 0.253 0.646
0.753 0.247 0.146
0.813 0.616 0.038
0.863 0.637 0.250
0.884 0.687 0.462
0.974 0.026 0.355
```

Summary:
DFT total energy = -4.66 eV/atom
total magnetic moment = 9.00 μB/f.u.